This record from Alexandria via LeMat-Bulk describes a relaxed structure of Sm4SnGe2. The functional is PBE.

Computed properties:
Space group = No. 122
DFT total energy = -5.38 eV per atom
ΔE to the lowest computed polymorph = 0.000 eV/atom
Fermi-level density of states = 0.59 states/eV/f.u.

Lattice parameters (Å, degrees): 7.9770 7.9770 7.9770 109.23 109.23 109.95
Closest atoms and distances in Å follow each position.
Positions (direct):
1 Sm 0.1312 0.7426 0.7446  2 Ge 2.97-3.01, 1 Sn 3.09
2 Sm 0.1366 0.2480 0.7554  2 Ge 2.97-3.01, 1 Sn 3.09
3 Sm 0.2574 0.0020 0.3886  2 Ge 2.97-3.01, 1 Sn 3.09
4 Sm 0.4926 0.3812 0.2446  2 Ge 2.97-3.01, 1 Sn 3.09
5 Sm 0.6134 0.8688 0.6114  2 Ge 2.97-3.01, 1 Sn 3.09
6 Sm 0.6188 0.8634 0.1114  2 Ge 2.97-3.01, 1 Sn 3.09
7 Sm 0.7520 0.5074 0.8886  2 Ge 2.97-3.01, 1 Sn 3.09
8 Sm 0.9980 0.3866 0.2554  2 Ge 2.97-3.01, 1 Sn 3.09
9 Sn 0.0000 0.0000 0.0000  8 Sm 3.09-3.37
10 Sn 0.7500 0.2500 0.5000  8 Sm 3.09-3.37
11 Ge 0.2478 0.6250 0.1228  4 Sm 2.97-3.01
12 Ge 0.3750 0.4978 0.6228  4 Sm 2.97-3.01
13 Ge 0.5022 0.1250 0.8772  4 Sm 2.97-3.01
14 Ge 0.8750 0.7522 0.3772  4 Sm 2.97-3.01

***

This record from Alexandria via LeMat-Bulk describes a relaxed structure of CdAsRu2. The functional is PBE.

Computed properties:
Space group = No. 12
DFT total energy = -5.87 eV per atom
ΔE to the lowest computed polymorph = 0.087 eV/atom
Fermi-level density of states = 2.50 states/eV/f.u.

Lattice parameters (Å, degrees): 4.1213 4.1213 5.9118 100.03 100.03 42.83
Closest atoms and distances in Å follow each position.
Positions (direct):
1 Cd 0.0000 0.0000 0.0000  6 Ru 2.83-2.84, 2 Cd 3.01
2 As 0.5000 0.5000 0.5000  6 Ru 2.46-2.50
3 Ru 0.2427 0.2427 0.6946  3 As 2.46-2.50
4 Ru 0.7573 0.7573 0.3054  3 As 2.46-2.50

***

This record from Alexandria via LeMat-Bulk describes a relaxed structure of MnTc4S8. The functional is PBE.

Computed properties:
Space group = No. 1
DFT total energy = -6.98 eV per atom
Fermi-level density of states = 3.82 states/eV/f.u.
E_form (uncorrected) = -0.54 eV/atom

Lattice parameters (Å, degrees): 6.5939 6.6628 6.6860 63.51 77.09 62.38
Closest atoms and distances in Å follow each position.
Positions (direct):
1 Mn 0.0000 0.0000 0.0000  6 S 2.47-2.60
2 Tc 0.0591 0.2660 0.4779  6 S 2.30-2.55
3 Tc 0.0758 0.6649 0.5171  6 S 2.34-2.53
4 Tc 0.4868 0.2598 0.5050  6 S 2.33-2.54
5 Tc 0.4939 0.6666 0.5304  6 S 2.30-2.57
6 S 0.1997 0.9909 0.2827  3 Tc 2.35-2.44, 1 Mn 2.50
7 S 0.2157 0.5289 0.2192  3 Tc 2.30-2.38
8 S 0.3499 0.3949 0.7964  3 Tc 2.30-2.34
9 S 0.3530 0.9412 0.7288  3 Tc 2.36-2.45, 1 Mn 2.60
10 S 0.6988 0.9533 0.3225  3 Tc 2.52-2.57, 1 Mn 2.60
11 S 0.7065 0.4899 0.2745  3 Tc 2.34-2.42
12 S 0.8469 0.4391 0.7412  3 Tc 2.37-2.45, 1 Mn 2.47
13 S 0.8655 0.9732 0.6969  1 Mn 2.49, 3 Tc 2.52-2.55

***

This record from Alexandria via LeMat-Bulk describes a relaxed structure of MnHgRh4. The functional is PBE.

Computed properties:
Space group = No. 216
DFT total energy = -6.25 eV per atom
Fermi-level density of states = 9.94 states/eV/f.u.

Lattice parameters (Å, degrees): 5.1721 5.1721 5.1721 60.00 60.00 60.00
Closest atoms and distances in Å follow each position.
Positions (direct):
1 Mn 0.0000 0.0000 0.0000  12 Rh 3.03, 4 Hg 3.17
2 Hg 0.2500 0.2500 0.2500  12 Rh 3.03, 4 Mn 3.17
3 Rh 0.1246 0.6251 0.6251  6 Rh 2.58-2.59
4 Rh 0.6251 0.1246 0.6251  6 Rh 2.58-2.59
5 Rh 0.6251 0.6251 0.1246  6 Rh 2.58-2.59
6 Rh 0.6251 0.6251 0.6251  6 Rh 2.58-2.59

***

This record from Alexandria via LeMat-Bulk describes a relaxed structure of MgNi2As. The functional is PBE.

Computed properties:
Space group = No. 123
DFT total energy = -4.63 eV per atom
Fermi-level density of states = 2.26 states/eV/f.u.

Lattice parameters (Å, degrees): 3.0928 3.0928 5.7720 90.00 90.00 90.00
Closest atoms and distances in Å follow each position.
Positions (direct):
1 Mg 0.0000 0.0000 0.0000  8 Ni 2.70, 2 As 2.89
2 Ni 0.5000 0.5000 0.2753  4 As 2.54, 1 Ni 2.59, 4 Mg 2.70
3 Ni 0.5000 0.5000 0.7247  4 As 2.54, 1 Ni 2.59, 4 Mg 2.70
4 As 0.0000 0.0000 0.5000  8 Ni 2.54

***

This record from Alexandria via LeMat-Bulk describes a relaxed structure of Sr3Zn2Sn4. The functional is PBE.

Computed properties:
Space group = No. 12
DFT total energy = -3.13 eV per atom
Fermi-level density of states = 2.00 states/eV/f.u.

Lattice parameters (Å, degrees): 6.5384 6.5384 9.1880 101.16 101.16 42.51
Closest atoms and distances in Å follow each position.
Positions (direct):
1 Sr 0.0000 0.0000 0.0000  8 Sn 3.41-3.79
2 Sr 0.3795 0.3795 0.3039  3 Zn 3.29-3.37, 7 Sn 3.41-3.60
3 Sr 0.6205 0.6205 0.6961  3 Zn 3.29-3.37, 7 Sn 3.41-3.60
4 Zn 0.2990 0.2990 0.6240  4 Sn 2.79-2.99
5 Zn 0.7010 0.7010 0.3760  4 Sn 2.79-2.99
6 Sn 0.0847 0.0847 0.3952  3 Zn 2.79-2.99, 1 Sn 3.10
7 Sn 0.2944 0.2944 0.9266  1 Zn 2.79, 2 Sn 3.04
8 Sn 0.7056 0.7056 0.0734  1 Zn 2.79, 2 Sn 3.04
9 Sn 0.9153 0.9153 0.6048  3 Zn 2.79-2.99, 1 Sn 3.10

***

This record from Alexandria via LeMat-Bulk describes a relaxed structure of Ta2MnPt. The functional is PBE.

Computed properties:
Space group = No. 119
DFT total energy = -9.95 eV per atom
Fermi-level density of states = 3.37 states/eV/f.u.

Lattice parameters (Å, degrees): 5.0192 5.0192 5.0192 134.25 134.25 66.70
Closest atoms and distances in Å follow each position.
Positions (direct):
1 Ta 0.0000 0.0000 0.0000  4 Pt 2.76, 4 Ta 2.86, 4 Mn 2.86
2 Ta 0.7500 0.2500 0.5000  4 Mn 2.76, 4 Pt 2.86, 4 Ta 2.86
3 Mn 0.2500 0.7500 0.5000  8 Ta 2.76-2.86, 4 Pt 2.86
4 Pt 0.5000 0.5000 0.0000  8 Ta 2.76-2.86, 4 Mn 2.86

***

This record from Alexandria via LeMat-Bulk describes a relaxed structure of TbGdPuMn. The functional is PBE.

Computed properties:
Space group = No. 216
DFT total energy = -10.11 eV per atom
Fermi-level density of states = 14.97 states/eV/f.u.

Lattice parameters (Å, degrees): 5.3512 5.3512 5.3512 60.00 60.00 60.00
Closest atoms and distances in Å follow each position.
Positions (direct):
1 Tb 0.0000 0.0000 0.0000  4 Mn 3.28, 4 Pu 3.28
2 Gd 0.5000 0.5000 0.5000  4 Mn 3.28, 4 Pu 3.28
3 Pu 0.2500 0.2500 0.2500  4 Gd 3.28, 4 Tb 3.28
4 Mn 0.7500 0.7500 0.7500  4 Gd 3.28, 4 Tb 3.28

***

This record from Alexandria via LeMat-Bulk describes a relaxed structure of SrTaMo3. The functional is PBE.

Computed properties:
Space group = No. 221
DFT total energy = -7.74 eV per atom
ΔE to the lowest computed polymorph = 0.000 eV/atom
Fermi-level density of states = 6.90 states/eV/f.u.

Lattice parameters (Å, degrees): 4.9262 4.9262 4.9262 90.00 90.00 90.00
Closest atoms and distances in Å follow each position.
Positions (direct):
1 Sr 0.0000 0.0000 0.0000  12 Mo 3.48
2 Ta 0.5000 0.5000 0.5000  6 Mo 2.46
3 Mo 0.0000 0.5000 0.5000  2 Ta 2.46
4 Mo 0.5000 0.0000 0.5000  2 Ta 2.46
5 Mo 0.5000 0.5000 0.0000  2 Ta 2.46

***

This record from Alexandria via LeMat-Bulk describes a relaxed structure of La3PrSm2Dy6. The functional is PBE.

Computed properties:
Space group = No. 12
DFT total energy = -4.70 eV per atom
Fermi-level density of states = 14.72 states/eV/f.u.

Lattice parameters (Å, degrees): 6.2954 6.2954 11.8881 95.05 95.05 120.01
Closest atoms and distances in Å follow each position.
Positions (direct):
1 La 0.0000 0.0000 0.0000  6 Dy 3.62-3.63, 6 La 3.63-3.64
2 La 0.3333 0.6667 0.0000  6 Dy 3.62-3.63, 6 La 3.63-3.64
3 La 0.6667 0.3333 0.0000  6 Dy 3.62-3.63, 6 La 3.63-3.64
4 Pr 0.5000 0.5000 0.5000  6 Dy 3.58, 6 Sm 3.63
5 Sm 0.1667 0.8333 0.5000  6 Dy 3.58, 3 Sm 3.63-3.64, 3 Pr 3.63
6 Sm 0.8333 0.1667 0.5000  6 Dy 3.58, 3 Sm 3.63-3.64, 3 Pr 3.63
7 Dy 0.0838 0.4176 0.2525  2 Sm 3.58, 1 Pr 3.58, 3 La 3.62-3.63, 6 Dy 3.63-3.64
8 Dy 0.2486 0.2486 0.7475  2 Sm 3.58, 1 Pr 3.58, 3 La 3.62-3.63, 6 Dy 3.63-3.64
9 Dy 0.4176 0.0838 0.2525  2 Sm 3.58, 1 Pr 3.58, 3 La 3.62-3.63, 6 Dy 3.63-3.64
10 Dy 0.5824 0.9162 0.7475  2 Sm 3.58, 1 Pr 3.58, 3 La 3.62-3.63, 6 Dy 3.63-3.64
11 Dy 0.7514 0.7514 0.2525  2 Sm 3.58, 1 Pr 3.58, 3 La 3.62-3.63, 6 Dy 3.63-3.64
12 Dy 0.9162 0.5824 0.7475  2 Sm 3.58, 1 Pr 3.58, 3 La 3.62-3.63, 6 Dy 3.63-3.64

***

This record from Alexandria via LeMat-Bulk describes a relaxed structure of SiPb3. The functional is PBE.

Computed properties:
Space group = No. 71
DFT total energy = -3.86 eV per atom
ΔE to the lowest computed polymorph = 0.009 eV/atom
Fermi-level density of states = 1.97 states/eV/f.u.
E_form (uncorrected) = 0.28 eV/atom

Lattice parameters (Å, degrees): 6.9656 6.9656 6.9656 150.11 136.83 53.39
Closest atoms and distances in Å follow each position.
Positions (direct):
1 Si 0.0000 0.0000 0.0000  8 Pb 3.02-3.13
2 Pb 0.1953 0.6953 0.5000  2 Si 3.02
3 Pb 0.5000 0.5000 0.0000  4 Si 3.13
4 Pb 0.8047 0.3047 0.5000  2 Si 3.02

***

This record from Alexandria via LeMat-Bulk describes a relaxed structure of BaLiCr. The functional is PBE.

Computed properties:
Space group = No. 216
DFT total energy = -3.71 eV per atom
ΔE to the lowest computed polymorph = 0.186 eV/atom
Fermi-level density of states = 2.73 states/eV/f.u.

Lattice parameters (Å, degrees): 5.4965 5.4965 5.4965 60.00 60.00 60.00
Closest atoms and distances in Å follow each position.
Positions (direct):
1 Ba 0.0000 0.0000 0.0000  4 Cr 3.37
2 Li 0.5000 0.5000 0.5000  4 Cr 3.37
3 Cr 0.7500 0.7500 0.7500  4 Li 3.37, 4 Ba 3.37

***

Among the records above, which one has the highest DFT total energy? Sr3Zn2Sn4